Record 1
# PBE Ac4SmSi4, relaxed
data_Ac4SmSi4
_chemical_formula_sum 'Ac8 Sm2 Si8'
_cell_length_a 9.4082
_cell_length_b 9.4082
_cell_length_c 6.4172
_cell_angle_alpha 90.00
_cell_angle_beta 90.00
_cell_angle_gamma 90.00
_symmetry_space_group_name_H-M 'P 42/n'
_symmetry_Int_Tables_number 86
loop_
_symmetry_equiv_pos_as_xyz
'x,y,z'
'-x,-y,-z'
'-y,x+1/2,z+1/2'
'y,-x+1/2,-z+1/2'
'-x+1/2,-y+1/2,z'
'x+1/2,y+1/2,-z'
'y+1/2,-x,z+1/2'
'-y+1/2,x,-z+1/2'
loop_
_atom_site_label
_atom_site_fract_x
_atom_site_fract_y
_atom_site_fract_z
Ac1 0.0491 0.6788 0.1097
Sm1 0.2500 0.2500 0.2500
Si1 0.0040 0.3879 0.4051
# Magnetic moment (μB per atom): 0.0000
# E_form (uncorrected) (meV per atom): -413
# Volume (Å³/cell): 568.0

=====

Record 2
# PBE AcSmZn2Si2, relaxed
data_AcSmZn2Si2
_chemical_formula_sum 'Ac1 Sm1 Zn2 Si2'
_cell_length_a 4.2210
_cell_length_b 4.2210
_cell_length_c 8.7744
_cell_angle_alpha 90.00
_cell_angle_beta 90.00
_cell_angle_gamma 120.00
_symmetry_space_group_name_H-M 'P -3 m 1'
_symmetry_Int_Tables_number 164
_symmetry_space_group_name_Hall '-P 3 2"'
loop_
_atom_site_label
_atom_site_fract_x
_atom_site_fract_y
_atom_site_fract_z
Ac1 0.0000 0.0000 0.0000
Sm1 0.0000 0.0000 0.5000
Zn1 0.3333 0.6667 0.7332
Si1 0.3333 0.6667 0.2690
# Magnetic moment (μB per atom): 0.0000
# E_form (uncorrected) (meV per atom): -598
# Volume (Å³/cell): 135.4

=====

Record 3
# PBE AcSm2Zn2Si2, relaxed
data_AcSm2Zn2Si2
_chemical_formula_sum 'Ac3 Sm6 Zn6 Si6'
_cell_length_a 4.1683
_cell_length_b 4.1683
_cell_length_c 35.5698
_cell_angle_alpha 90.00
_cell_angle_beta 90.00
_cell_angle_gamma 120.00
_symmetry_space_group_name_H-M 'R -3 m'
_symmetry_Int_Tables_number 166
_symmetry_space_group_name_Hall '-R 3 2"'
loop_
_atom_site_label
_atom_site_fract_x
_atom_site_fract_y
_atom_site_fract_z
Ac1 0.0000 0.0000 0.0000
Sm1 0.0000 0.0000 0.1238
Zn1 0.0000 0.0000 0.3992
Si1 0.0000 0.0000 0.2650
# Magnetic moment (μB per atom): 0.0000
# E_form (uncorrected) (meV per atom): -428
# Volume (Å³/cell): 535.2

=====

Record 4
# PBE Ac2SiSn, relaxed
data_Ac2SiSn
_chemical_formula_sum 'Ac8 Si4 Sn4'
_cell_length_a 7.1111
_cell_length_b 4.8682
_cell_length_c 14.8292
_cell_angle_alpha 90.00
_cell_angle_beta 90.00
_cell_angle_gamma 90.00
_symmetry_space_group_name_H-M 'A m m 2'
_symmetry_Int_Tables_number 38
_symmetry_space_group_name_Hall 'A 2 -2'
loop_
_atom_site_label
_atom_site_fract_x
_atom_site_fract_y
_atom_site_fract_z
Ac1 0.0000 0.0000 0.0000
Ac2 0.0000 0.0000 0.2594
Ac3 0.5000 0.0000 0.1676
Ac4 0.5000 0.0000 0.4535
Si1 0.1775 0.0000 0.6212
Sn1 0.2948 0.0000 0.8181
# Magnetic moment (μB per atom): 0.0000
# E_form (uncorrected) (meV per atom): -625
# Volume (Å³/cell): 513.4

=====

Record 5
# PBE AcSi2Sn, relaxed
data_AcSi2Sn
_chemical_formula_sum 'Ac3 Si6 Sn3'
_cell_length_a 4.7352
_cell_length_b 4.7352
_cell_length_c 15.7003
_cell_angle_alpha 90.00
_cell_angle_beta 90.00
_cell_angle_gamma 120.00
_symmetry_space_group_name_H-M 'R -3 m'
_symmetry_Int_Tables_number 166
_symmetry_space_group_name_Hall '-R 3 2"'
loop_
_atom_site_label
_atom_site_fract_x
_atom_site_fract_y
_atom_site_fract_z
Ac1 0.0000 0.0000 0.0000
Si1 0.0000 0.0000 0.2093
Sn1 0.0000 0.0000 0.5000
# Magnetic moment (μB per atom): 0.0000
# E_form (uncorrected) (meV per atom): -144
# Volume (Å³/cell): 304.9

=====

Record 6
# PBE AcSiSn2, relaxed
data_AcSiSn2
_chemical_formula_sum 'Ac1 Si1 Sn2'
_cell_length_a 4.6568
_cell_length_b 4.6568
_cell_length_c 5.0151
_cell_angle_alpha 90.00
_cell_angle_beta 90.00
_cell_angle_gamma 90.00
_symmetry_space_group_name_H-M 'P 4/m m m'
_symmetry_Int_Tables_number 123
_symmetry_space_group_name_Hall '-P 4 2'
loop_
_atom_site_label
_atom_site_fract_x
_atom_site_fract_y
_atom_site_fract_z
Ac1 0.0000 0.0000 0.0000
Si1 0.5000 0.5000 0.0000
Sn1 0.0000 0.5000 0.5000
# Magnetic moment (μB per atom): 0.0000
# E_form (uncorrected) (meV per atom): -296
# Volume (Å³/cell): 108.8

=====

Record 7
# PBE Ac3SiSn, relaxed
data_Ac3SiSn
_chemical_formula_sum 'Ac6 Si2 Sn2'
_cell_length_a 4.8390
_cell_length_b 7.5399
_cell_length_c 10.1476
_cell_angle_alpha 90.00
_cell_angle_beta 90.00
_cell_angle_gamma 90.00
_symmetry_space_group_name_H-M 'P m m n'
_symmetry_Int_Tables_number 59
loop_
_symmetry_equiv_pos_as_xyz
'x,y,z'
'-x,-y,-z'
'-x+1/2,-y+1/2,z'
'x+1/2,y+1/2,-z'
'x+1/2,-y,-z'
'-x+1/2,y,z'
'-x,y+1/2,-z'
'x,-y+1/2,z'
loop_
_atom_site_label
_atom_site_fract_x
_atom_site_fract_y
_atom_site_fract_z
Ac1 0.2500 0.0157 0.1599
Ac2 0.2500 0.2500 0.5756
Si1 0.2500 0.2500 0.8927
Sn1 0.2500 0.7500 0.6495
# Magnetic moment (μB per atom): 0.0027
# E_form (uncorrected) (meV per atom): -524
# Volume (Å³/cell): 370.2
# Relative energy among the computed polymorphs (meV per atom): 0

=====

Record 8
# PBE Ac3Si2Sn3, relaxed
data_Ac3Si2Sn3
_chemical_formula_sum 'Ac12 Si8 Sn12'
_cell_length_a 4.6143
_cell_length_b 12.4034
_cell_length_c 17.3665
_cell_angle_alpha 90.00
_cell_angle_beta 90.00
_cell_angle_gamma 90.00
_symmetry_space_group_name_H-M 'C m c m'
_symmetry_Int_Tables_number 63
_symmetry_space_group_name_Hall '-C 2c 2'
loop_
_atom_site_label
_atom_site_fract_x
_atom_site_fract_y
_atom_site_fract_z
Ac1 0.0000 0.1116 0.2500
Ac2 0.0000 0.1322 0.5619
Si1 0.0000 0.4254 0.1802
Sn1 0.0000 0.1709 0.7500
Sn2 0.0000 0.4058 0.5856
# Magnetic moment (μB per atom): 0.0000
# E_form (uncorrected) (meV per atom): -469
# Volume (Å³/cell): 993.9
# Relative energy among the computed polymorphs (meV per atom): 46

=====

Question: Look up the E_form (uncorrected) of the first one.
Answer: -413 meV per atom

=====

Question: Which value of magnetic moment does entry 2 give?
Answer: 0.0000 μB per atom

=====

Repeat the first record exactly.
# PBE Ac4SmSi4, relaxed
data_Ac4SmSi4
_chemical_formula_sum 'Ac8 Sm2 Si8'
_cell_length_a 9.4082
_cell_length_b 9.4082
_cell_length_c 6.4172
_cell_angle_alpha 90.00
_cell_angle_beta 90.00
_cell_angle_gamma 90.00
_symmetry_space_group_name_H-M 'P 42/n'
_symmetry_Int_Tables_number 86
loop_
_symmetry_equiv_pos_as_xyz
'x,y,z'
'-x,-y,-z'
'-y,x+1/2,z+1/2'
'y,-x+1/2,-z+1/2'
'-x+1/2,-y+1/2,z'
'x+1/2,y+1/2,-z'
'y+1/2,-x,z+1/2'
'-y+1/2,x,-z+1/2'
loop_
_atom_site_label
_atom_site_fract_x
_atom_site_fract_y
_atom_site_fract_z
Ac1 0.0491 0.6788 0.1097
Sm1 0.2500 0.2500 0.2500
Si1 0.0040 0.3879 0.4051
# Magnetic moment (μB per atom): 0.0000
# E_form (uncorrected) (meV per atom): -413
# Volume (Å³/cell): 568.0

=====

Question: E_form (uncorrected) of number 3 (AcSm2Zn2Si2)?
Answer: -428 meV per atom